(1)
The following is a GGA-PBEsol calculation of a geometry-optimized TcHgPb structure, from Alexandria via LeMat-Bulk.

a = 6.6318 Å, b = 6.6318 Å, c = 6.6318 Å
α = 90.00°, β = 90.00°, γ = 90.00°
Last column: nearest neighbours and their distance in Å.
Fractional positions:
Tc1 0.0000 0.0000 0.0000  4 Hg 2.87
Tc2 0.0000 0.5000 0.5000  4 Hg 2.87
Tc3 0.5000 0.0000 0.5000  4 Hg 2.87
Tc4 0.5000 0.5000 0.0000  4 Hg 2.87
Hg1 0.2500 0.2500 0.7500  4 Tc 2.87, 4 Pb 2.87
Hg2 0.2500 0.7500 0.2500  4 Tc 2.87, 4 Pb 2.87
Hg3 0.7500 0.2500 0.2500  4 Tc 2.87, 4 Pb 2.87
Hg4 0.7500 0.7500 0.7500  4 Pb 2.87, 4 Tc 2.87
Pb1 0.0000 0.0000 0.5000  4 Hg 2.87
Pb2 0.0000 0.5000 0.0000  4 Hg 2.87
Pb3 0.5000 0.0000 0.0000  4 Hg 2.87
Pb4 0.5000 0.5000 0.5000  4 Hg 2.87

## Properties
M_tot	3.019	μB per formula unit
E_form	1.20	eV/atom
total DFT energy (no corrections)	-4.076	eV per atom
crystal system	cubic

(2)
The following is a GGA-PBEsol calculation of a geometry-optimized Cu2GeTe3 structure, from Alexandria via LeMat-Bulk.

a = 7.2661 Å, b = 8.4091 Å, c = 11.1016 Å
α = 67.80°, β = 89.93°, γ = 89.89°
Last column: nearest neighbours and their distance in Å.
Fractional positions:
Cu1 0.0000 0.0000 0.0000  4 Te 2.52
Cu2 0.0032 0.5050 0.9957  4 Te 2.51-2.53
Cu3 0.1754 0.9200 0.6668  4 Te 2.53-2.56
Cu4 0.3328 0.3411 0.3256  4 Te 2.51-2.52
Cu5 0.3431 0.8417 0.3228  4 Te 2.51-2.53
Cu6 0.4951 0.2497 0.9952  4 Te 2.53-2.55
Cu7 0.6562 0.1669 0.6686  4 Te 2.51-2.54
Cu8 0.8331 0.5924 0.3240  4 Te 2.53-2.55
Ge1 0.1746 0.4075 0.6728  4 Te 2.62-2.71
Ge2 0.4921 0.7634 0.9970  4 Te 2.62-2.70
Ge3 0.6707 0.6710 0.6643  4 Te 2.69-2.71
Ge4 0.8340 0.0918 0.3189  4 Te 2.63-2.71
Te1 0.0070 0.3895 0.2421  3 Cu 2.52-2.55, 1 Ge 2.64
Te2 0.0128 0.8712 0.2449  3 Cu 2.52-2.53, 1 Ge 2.63
Te3 0.1519 0.7969 0.9123  3 Cu 2.52-2.53, 1 Ge 2.62
Te4 0.1606 0.2857 0.9279  3 Cu 2.51-2.53, 1 Ge 2.62
Te5 0.3262 0.7248 0.5684  2 Cu 2.53-2.54, 2 Ge 2.69-2.71
Te6 0.3386 0.2079 0.5707  3 Cu 2.52-2.54, 1 Ge 2.64
Te7 0.4879 0.1340 0.2431  3 Cu 2.51-2.55, 1 Ge 2.63
Te8 0.4992 0.6238 0.2524  3 Cu 2.51-2.54, 1 Ge 2.63
Te9 0.6711 0.5307 0.9258  2 Cu 2.52-2.54, 2 Ge 2.69-2.70
Te10 0.6762 0.0531 0.9126  3 Cu 2.51-2.54, 1 Ge 2.62
Te11 0.8300 0.4491 0.5713  2 Cu 2.54-2.55, 2 Ge 2.71
Te12 0.8450 0.9784 0.5822  2 Cu 2.54-2.56, 2 Ge 2.71

## Properties
ΔE_f (raw)	-44	meV/atom
M_tot	0.000	μB per formula unit
total DFT energy (no corrections)	-4.075	eV per atom
crystal system	triclinic
distance to the lowest polymorph of the same formula	8	meV/atom

(3)
The following is a GGA-PBEsol calculation of a geometry-optimized Li2TaP structure, from Alexandria via LeMat-Bulk.

a = 2.6217 Å, b = 2.6217 Å, c = 8.7308 Å
α = 90.00°, β = 90.00°, γ = 90.00°
Last column: nearest neighbours and their distance in Å.
Fractional positions:
Li1 0.0000 0.0000 0.2124  4 Li 2.62, 4 P 2.62
Li2 0.0000 0.0000 0.7876  4 Li 2.62, 4 P 2.62
Ta1 0.5000 0.5000 0.5000  4 Ta 2.62
P1 0.5000 0.5000 0.0000  4 P 2.62, 8 Li 2.62

## Properties
M_tot	0.000	μB per formula unit
E_form	0.07	eV/atom
total DFT energy (no corrections)	-5.503	eV per atom
crystal system	tetragonal

(4)
The following is a GGA-PBEsol calculation of a geometry-optimized Li3MgAs structure, from Alexandria via LeMat-Bulk.

a = 4.8252 Å, b = 4.8252 Å, c = 4.8252 Å
α = 90.00°, β = 90.00°, γ = 90.00°
Last column: nearest neighbours and their distance in Å.
Fractional positions:
Li1 0.0000 0.0000 0.5000  2 As 2.41
Li2 0.0000 0.5000 0.0000  2 As 2.41
Li3 0.5000 0.0000 0.0000  2 As 2.41
Mg1 0.5000 0.5000 0.5000  12 Li 3.41
As1 0.0000 0.0000 0.0000  6 Li 2.41

## Properties
M_tot	0.000	μB per formula unit
E_form	-0.24	eV/atom
total DFT energy (no corrections)	-2.785	eV per atom
crystal system	cubic

(5)
The following is a GGA-PBEsol calculation of a geometry-optimized RbLa3Te structure, from Alexandria via LeMat-Bulk.

a = 6.1045 Å, b = 6.1045 Å, c = 6.1045 Å
α = 90.00°, β = 90.00°, γ = 90.00°
Last column: nearest neighbours and their distance in Å.
Fractional positions:
Rb1 0.0000 0.0000 0.0000  12 La 4.32
La1 0.0000 0.5000 0.5000  2 Te 3.05
La2 0.5000 0.0000 0.5000  2 Te 3.05
La3 0.5000 0.5000 0.0000  2 Te 3.05
Te1 0.5000 0.5000 0.5000  6 La 3.05

## Properties
ΔE_f (raw)	-62	meV/atom
M_tot	0.189	μB per formula unit
total DFT energy (no corrections)	-4.180	eV per atom
crystal system	cubic

(6)
The following is a GGA-PBEsol calculation of a geometry-optimized AlIr2Pb structure, from Alexandria via LeMat-Bulk.

a = 3.0188 Å, b = 4.7667 Å, c = 4.5878 Å
α = 90.00°, β = 90.00°, γ = 90.00°
Last column: nearest neighbours and their distance in Å.
Fractional positions:
Al1 0.0000 0.0000 0.0000  4 Ir 2.58-2.65
Ir1 0.0000 0.5000 0.7452  2 Al 2.65, 4 Pb 2.73-2.76, 4 Ir 2.97
Ir2 0.5000 0.0000 0.5441  2 Al 2.58, 2 Pb 2.76
Pb1 0.5000 0.5000 0.2422  6 Ir 2.73-2.76, 2 Pb 3.02, 4 Al 3.03

## Properties
M_tot	0.000	μB per formula unit
E_form	0.12	eV/atom
total DFT energy (no corrections)	-6.816	eV per atom
crystal system	orthorhombic
distance to the lowest polymorph of the same formula	50	meV/atom

(7)
The following is a GGA-PBEsol calculation of a geometry-optimized Nd5Si3 structure, from Alexandria via LeMat-Bulk.

a = 8.6875 Å, b = 8.6875 Å, c = 6.5534 Å
α = 90.00°, β = 90.00°, γ = 120.00°
Last column: nearest neighbours and their distance in Å.
Fractional positions:
Nd1 0.0000 0.2481 0.2500  3 Si 2.99-3.12
Nd2 0.0000 0.7519 0.7500  3 Si 2.99-3.12
Nd3 0.2481 0.0000 0.2500  3 Si 2.99-3.12
Nd4 0.2481 0.2481 0.7500  3 Si 2.99-3.12
Nd5 0.3333 0.6667 0.0000  6 Si 3.14, 2 Nd 3.28
Nd6 0.3333 0.6667 0.5000  6 Si 3.14, 2 Nd 3.28
Nd7 0.6667 0.3333 0.0000  6 Si 3.14, 2 Nd 3.28
Nd8 0.6667 0.3333 0.5000  6 Si 3.14, 2 Nd 3.28
Nd9 0.7519 0.0000 0.7500  3 Si 2.99-3.12
Nd10 0.7519 0.7519 0.2500  3 Si 2.99-3.12
Si1 0.0000 0.3926 0.7500  7 Nd 2.99-3.14
Si2 0.0000 0.6074 0.2500  7 Nd 2.99-3.14
Si3 0.3926 0.0000 0.7500  7 Nd 2.99-3.14
Si4 0.3926 0.3926 0.2500  7 Nd 2.99-3.14
Si5 0.6074 0.0000 0.2500  7 Nd 2.99-3.14
Si6 0.6074 0.6074 0.7500  7 Nd 2.99-3.14

## Properties
ΔE_f (raw)	-585	meV/atom
M_tot	0.003	μB per formula unit
total DFT energy (no corrections)	-5.969	eV per atom
crystal system	hexagonal
distance to the lowest polymorph of the same formula	48	meV/atom

(8)
The following is a GGA-PBEsol calculation of a geometry-optimized AgBiSb2 structure, from Alexandria via LeMat-Bulk.

a = 6.4499 Å, b = 6.4499 Å, c = 13.1191 Å
α = 90.00°, β = 90.00°, γ = 90.00°
Last column: nearest neighbours and their distance in Å.
Fractional positions:
Ag1 0.0000 0.0000 0.0000  4 Sb 2.67
Ag2 0.0000 0.5000 0.2500  4 Sb 2.67
Ag3 0.5000 0.0000 0.7500  4 Sb 2.67
Ag4 0.5000 0.5000 0.5000  4 Sb 2.67
Bi1 0.0000 0.0000 0.5000  4 Sb 2.96
Bi2 0.0000 0.5000 0.7500  4 Sb 2.96
Bi3 0.5000 0.0000 0.2500  4 Sb 2.96
Bi4 0.5000 0.5000 0.0000  4 Sb 2.96
Sb1 0.2113 0.2500 0.1250  2 Ag 2.67, 2 Bi 2.96
Sb2 0.2500 0.7113 0.3750  2 Ag 2.67, 2 Bi 2.96
Sb3 0.2500 0.7887 0.8750  2 Ag 2.67, 2 Bi 2.96
Sb4 0.2887 0.2500 0.6250  2 Ag 2.67, 2 Bi 2.96
Sb5 0.7113 0.7500 0.6250  2 Ag 2.67, 2 Bi 2.96
Sb6 0.7500 0.2113 0.8750  2 Ag 2.67, 2 Bi 2.96
Sb7 0.7500 0.2887 0.3750  2 Ag 2.67, 2 Bi 2.96
Sb8 0.7887 0.7500 0.1250  2 Ag 2.67, 2 Bi 2.96

## Properties
ΔE_f (raw)	242	meV/atom
M_tot	0.000	μB per formula unit
total DFT energy (no corrections)	-3.936	eV per atom
crystal system	tetragonal